1.
# PBEsol SrZrAl2O, optimized geometry
data_SrZrAl2O
_symmetry_space_group_name_H-M 'P 4/m m m'
_symmetry_Int_Tables_number 123
_symmetry_space_group_name_Hall '-P 4 2'
_cell_length_a 5.587
_cell_length_b 5.587
_cell_length_c 4.084
_cell_angle_alpha 90.00
_cell_angle_beta 90.00
_cell_angle_gamma 90.00
loop_
_atom_site_label
_atom_site_type_symbol
_atom_site_fract_x
_atom_site_fract_y
_atom_site_fract_z
Sr1 Sr 0.000 0.000 0.000
Zr1 Zr 0.500 0.500 0.500
Al1 Al 0.000 0.500 0.000
O1 O 0.000 0.000 0.500
# - Formation energy without anion corrections: 0.713 eV per atom

2.
# PBEsol FeAuCl2, optimized geometry
data_FeAuCl2
_symmetry_space_group_name_H-M 'I 4/m m m'
_symmetry_Int_Tables_number 139
_symmetry_space_group_name_Hall '-I 4 2'
_cell_length_a 4.502
_cell_length_b 4.502
_cell_length_c 6.694
_cell_angle_alpha 90.00
_cell_angle_beta 90.00
_cell_angle_gamma 90.00
loop_
_atom_site_label
_atom_site_type_symbol
_atom_site_fract_x
_atom_site_fract_y
_atom_site_fract_z
Fe1 Fe 0.000 0.000 0.000
Au1 Au 0.000 0.000 0.500
Cl1 Cl 0.000 0.500 0.250
# - ΔE to the lowest computed polymorph: 402 meV per atom
# - Formation energy without anion corrections: 0.400 eV per atom

3.
# PBEsol NaAuN2O, optimized geometry
data_NaAuN2O
_symmetry_space_group_name_H-M 'P 4/m m m'
_symmetry_Int_Tables_number 123
_symmetry_space_group_name_Hall '-P 4 2'
_cell_length_a 3.955
_cell_length_b 3.955
_cell_length_c 4.380
_cell_angle_alpha 90.00
_cell_angle_beta 90.00
_cell_angle_gamma 90.00
loop_
_atom_site_label
_atom_site_type_symbol
_atom_site_fract_x
_atom_site_fract_y
_atom_site_fract_z
Na1 Na 0.000 0.000 0.000
Au1 Au 0.500 0.500 0.500
N1 N 0.000 0.500 0.500
O1 O 0.500 0.500 0.000
# - Formation energy without anion corrections: 1.158 eV per atom

4.
# PBEsol SrReSn2As, optimized geometry
data_SrReSn2As
_symmetry_space_group_name_H-M 'P 4/m m m'
_symmetry_Int_Tables_number 123
_symmetry_space_group_name_Hall '-P 4 2'
_cell_length_a 5.745
_cell_length_b 5.745
_cell_length_c 5.302
_cell_angle_alpha 90.00
_cell_angle_beta 90.00
_cell_angle_gamma 90.00
loop_
_atom_site_label
_atom_site_type_symbol
_atom_site_fract_x
_atom_site_fract_y
_atom_site_fract_z
Sr1 Sr 0.000 0.000 0.000
Re1 Re 0.500 0.500 0.500
Sn1 Sn 0.000 0.500 0.000
As1 As 0.000 0.000 0.500
# - Energy relative to the elements: 2.1278 eV per atom

5.
# PBEsol Si6As2H36C12O3, optimized geometry
data_Si6As2H36C12O3
_symmetry_space_group_name_H-M 'F d d 2'
_symmetry_Int_Tables_number 43
_symmetry_space_group_name_Hall 'F 2 -2d'
_cell_length_a 16.920
_cell_length_b 65.235
_cell_length_c 9.533
_cell_angle_alpha 90.00
_cell_angle_beta 90.00
_cell_angle_gamma 90.00
loop_
_atom_site_label
_atom_site_type_symbol
_atom_site_fract_x
_atom_site_fract_y
_atom_site_fract_z
Si1 Si 0.021 0.295 0.000
Si2 Si 0.038 0.342 0.941
Si3 Si 0.065 0.163 0.115
Si4 Si 0.083 0.211 0.172
Si5 Si 0.103 0.081 0.375
Si6 Si 0.122 0.033 0.434
As1 As 0.015 0.272 0.806
As2 As 0.047 0.353 0.707
H1 H 0.003 0.177 0.896
H2 H 0.004 0.400 0.992
H3 H 0.015 0.212 0.940
H4 H 0.020 0.464 0.428
H5 H 0.020 0.464 0.999
H6 H 0.026 0.079 0.599
H7 H 0.030 0.017 0.601
H8 H 0.032 0.078 0.149
H9 H 0.035 0.425 0.949
H10 H 0.037 0.151 0.876
H11 H 0.041 0.043 0.642
H12 H 0.043 0.404 0.364
H13 H 0.051 0.105 0.193
H14 H 0.057 0.021 0.217
H15 H 0.059 0.268 0.173
H16 H 0.061 0.467 0.600
H17 H 0.066 0.155 0.623
H18 H 0.066 0.487 0.477
H19 H 0.069 0.235 0.971
H20 H 0.076 0.104 0.748
H21 H 0.077 0.135 0.494
H22 H 0.079 0.194 0.673
H23 H 0.089 0.000 0.327
H24 H 0.091 0.263 0.469
H25 H 0.091 0.392 0.508
H26 H 0.095 0.293 0.223
H27 H 0.102 0.373 0.036
H28 H 0.104 0.218 0.602
H29 H 0.104 0.382 0.335
H30 H 0.105 0.028 0.840
H31 H 0.106 0.172 0.872
H32 H 0.108 0.161 0.455
H33 H 0.115 0.352 0.152
H34 H 0.120 0.212 0.920
H35 H 0.121 0.339 0.373
H36 H 0.123 0.196 0.502
C1 C 0.014 0.084 0.490
C2 C 0.036 0.032 0.556
C3 C 0.051 0.166 0.921
C4 C 0.062 0.152 0.509
C5 C 0.069 0.471 0.488
C6 C 0.070 0.218 0.984
C7 C 0.077 0.089 0.193
C8 C 0.081 0.203 0.575
C9 C 0.086 0.282 0.133
C10 C 0.098 0.396 0.397
C11 C 0.106 0.015 0.285
C12 C 0.114 0.357 0.041
O1 O 0.058 0.317 0.963
O2 O 0.084 0.186 0.190
O3 O 0.119 0.307 0.616
# - E_tot: -5.37 eV/atom

6.
# PBEsol CaAg2Pb, optimized geometry
data_CaAg2Pb
_symmetry_space_group_name_H-M 'P m m m'
_symmetry_Int_Tables_number 47
_cell_length_a 3.311
_cell_length_b 4.857
_cell_length_c 5.777
_cell_angle_alpha 90.00
_cell_angle_beta 90.00
_cell_angle_gamma 90.00
loop_
_symmetry_equiv_pos_as_xyz
'x,y,z'
'-x,-y,-z'
'-x,-y,z'
'x,y,-z'
'x,-y,-z'
'-x,y,z'
'-x,y,-z'
'x,-y,z'
loop_
_atom_site_label
_atom_site_type_symbol
_atom_site_fract_x
_atom_site_fract_y
_atom_site_fract_z
Ca1 Ca 0.000 0.000 0.000
Ag1 Ag 0.500 0.500 0.236
Pb1 Pb 0.500 0.000 0.500
# - Energy relative to the elements: -0.1633 eV per atom

7.
# PBEsol TaFe2Ir, optimized geometry
data_TaFe2Ir
_symmetry_space_group_name_H-M 'P 4/m m m'
_symmetry_Int_Tables_number 123
_symmetry_space_group_name_Hall '-P 4 2'
_cell_length_a 3.744
_cell_length_b 3.744
_cell_length_c 3.686
_cell_angle_alpha 90.00
_cell_angle_beta 90.00
_cell_angle_gamma 90.00
loop_
_atom_site_label
_atom_site_type_symbol
_atom_site_fract_x
_atom_site_fract_y
_atom_site_fract_z
Ta1 Ta 0.000 0.000 0.000
Fe1 Fe 0.000 0.500 0.500
Ir1 Ir 0.500 0.500 0.000
# - Energy relative to the elements: -0.2809 eV per atom
# - ΔE to the lowest computed polymorph: 0 meV per atom

8.
# PBEsol AgSb, optimized geometry
data_AgSb
_symmetry_space_group_name_H-M 'P 63/m m c'
_symmetry_Int_Tables_number 194
_symmetry_space_group_name_Hall '-P 6c 2c'
_cell_length_a 4.7264
_cell_length_b 4.7264
_cell_length_c 5.6145
_cell_angle_alpha 90.00
_cell_angle_beta 90.00
_cell_angle_gamma 120.00
loop_
_atom_site_label
_atom_site_type_symbol
_atom_site_fract_x
_atom_site_fract_y
_atom_site_fract_z
Ag1 Ag 0.3333 0.6667 0.2500
Sb1 Sb 0.3333 0.6667 0.7500
# - ΔE to the lowest computed polymorph: 224 meV per atom
# - Formation energy without anion corrections: 0.279 eV per atom

9.
# PBEsol SnBi2Au2, optimized geometry
data_SnBi2Au2
_symmetry_space_group_name_H-M 'P 4/m b m'
_symmetry_Int_Tables_number 127
_symmetry_space_group_name_Hall '-P 4 2ab'
_cell_length_a 7.515
_cell_length_b 7.515
_cell_length_c 4.275
_cell_angle_alpha 90.00
_cell_angle_beta 90.00
_cell_angle_gamma 90.00
loop_
_atom_site_label
_atom_site_type_symbol
_atom_site_fract_x
_atom_site_fract_y
_atom_site_fract_z
Sn1 Sn 0.000 0.000 0.000
Bi1 Bi 0.173 0.327 0.500
Au1 Au 0.131 0.631 0.000
# - Energy relative to the elements: -0.0214 eV per atom
# - ΔE to the lowest computed polymorph: 0 meV per atom

10.
# PBEsol LiCr2As, optimized geometry
data_LiCr2As
_symmetry_space_group_name_H-M 'C m m 2'
_symmetry_Int_Tables_number 35
_cell_length_a 3.040
_cell_length_b 4.396
_cell_length_c 8.083
_cell_angle_alpha 90.00
_cell_angle_beta 90.00
_cell_angle_gamma 90.00
loop_
_symmetry_equiv_pos_as_xyz
'x,y,z'
'-x,-y,z'
'-x,y,z'
'x,-y,z'
'x+1/2,y+1/2,z'
'-x+1/2,-y+1/2,z'
'-x+1/2,y+1/2,z'
'x+1/2,-y+1/2,z'
loop_
_atom_site_label
_atom_site_type_symbol
_atom_site_fract_x
_atom_site_fract_y
_atom_site_fract_z
Li1 Li 0.000 0.000 0.000
Cr1 Cr 0.000 0.000 0.486
Cr2 Cr 0.000 0.500 0.281
As1 As 0.000 0.500 0.730
# - Energy relative to the elements: 0.2219 eV per atom

11.
# PBEsol Sr4MgMn, optimized geometry
data_Sr4MgMn
_symmetry_space_group_name_H-M 'F -4 3 m'
_symmetry_Int_Tables_number 216
_symmetry_space_group_name_Hall 'F -4 2 3'
_cell_length_a 10.003
_cell_length_b 10.003
_cell_length_c 10.003
_cell_angle_alpha 90.00
_cell_angle_beta 90.00
_cell_angle_gamma 90.00
loop_
_atom_site_label
_atom_site_type_symbol
_atom_site_fract_x
_atom_site_fract_y
_atom_site_fract_z
Sr1 Sr 0.125 0.125 0.125
Mg1 Mg 0.250 0.250 0.750
Mn1 Mn 0.000 0.000 0.500
# - Energy relative to the elements: 0.7887 eV per atom

12.
# PBEsol AgAsPBr2, optimized geometry
data_AgAsPBr2
_symmetry_space_group_name_H-M 'P 4/m m m'
_symmetry_Int_Tables_number 123
_symmetry_space_group_name_Hall '-P 4 2'
_cell_length_a 5.050
_cell_length_b 5.050
_cell_length_c 4.776
_cell_angle_alpha 90.00
_cell_angle_beta 90.00
_cell_angle_gamma 90.00
loop_
_atom_site_label
_atom_site_type_symbol
_atom_site_fract_x
_atom_site_fract_y
_atom_site_fract_z
Ag1 Ag 0.000 0.000 0.000
As1 As 0.500 0.500 0.000
P1 P 0.500 0.500 0.500
Br1 Br 0.000 0.500 0.500
# - Formation energy without anion corrections: 0.534 eV per atom